Record 1
The following is a DFT calculation (PBE) of an optimized crystal structure of TiCo2CuH.

```
TiCo2CuH
1.0
-0.059 -3.765 -0.076
3.712 -0.071 0.635
-0.589 -0.060 3.433
Cu Ti Co H
1 1 2 1
Cartesian
-0.294 -0.030 1.717 Cu
1.532 -1.948 1.996 Ti
1.856 -0.036 0.318 Co
-0.030 -1.883 -0.038 Co
0.000 0.000 0.000 H
```

## Properties
E above lowest polymorph in kJ per mole of atoms: 0.44
Uncorrected energy in eV per atom: -6.07
M_tot in Bohr magnetons per cell: 0.00
Calculated density in Mg/m³: 7.74

Record 2
The following is a DFT calculation (PBE) of an optimized crystal structure of TiCo2CuH.

```
TiCo2CuH
1.0
-3.667 0.170 -0.082
-0.170 -2.283 2.871
0.083 2.893 2.305
Ti Co H Cu
1 2 1 1
Cartesian
0.041 1.447 1.153 Ti
-1.834 0.085 -0.041 Co
-0.085 -1.141 1.436 Co
0.000 0.000 0.000 H
-1.877 0.390 2.547 Cu
```

## Properties
E above lowest polymorph in kJ per mole of atoms: 0.00
Uncorrected energy in eV per atom: -6.08
M_tot in Bohr magnetons per cell: 0.00
Calculated density in Mg/m³: 7.67

Record 3
The following is a DFT calculation (PBE) of an optimized crystal structure of TiCoCu2H.

```
TiCoCu2H
1.0
3.648 0.000 0.000
0.000 3.967 0.000
0.000 0.000 3.648
H Ti Cu Co
1 1 2 1
Cartesian
0.000 0.000 0.000 H
1.824 1.984 1.824 Ti
0.000 0.000 1.824 Cu
1.824 0.000 0.000 Cu
0.000 1.984 0.000 Co
```

## Properties
Uncorrected energy in eV per atom: -5.22
M_tot in Bohr magnetons per cell: 0.00
Calculated density in Mg/m³: 7.39

Record 4
The following is a DFT calculation (PBE) of an optimized crystal structure of VCo2CuH.

```
VCo2CuH
1.0
-0.469 -3.309 -1.428
2.975 -1.168 1.730
-2.029 -0.943 2.852
H V Co Cu
1 1 2 1
Cartesian
0.000 0.000 0.000 H
-1.014 -0.472 1.426 V
-0.234 -1.655 -0.714 Co
1.488 -0.584 0.865 Co
0.239 -2.710 1.577 Cu
```

## Properties
E above lowest polymorph in kJ per mole of atoms: 0.00
Uncorrected energy in eV per atom: -6.12
M_tot in Bohr magnetons per cell: 0.73
Calculated density in Mg/m³: 8.09

> Which of these has the lowest calculated density?

TiCoCu2H

> Which of these has the highest calculated density?

VCo2CuH